#w
A geometry-optimized TlCrFe structure, computed with PBE.

The structure in POSCAR format:
```
TlCrFe
1.0
4.3110 0.0000 0.0000
2.1555 3.7335 0.0000
2.1555 1.2445 3.5199
Cr Tl Fe
1 1 1
Direct
0.5000 0.5000 0.5000 Cr
0.0000 0.0000 0.0000 Tl
0.7500 0.7500 0.7500 Fe
```

ρ: 9.2 g/cm³


#x
A geometry-optimized TlCrFe structure, computed with PBE.

The structure in POSCAR format:
```
TlCrFe
1.0
-2.0490 -3.1235 -2.1627
3.9948 -0.6706 1.4913
-1.0886 -0.9952 2.4688
Fe Cr Tl
1 1 1
Direct
0.3333 0.6667 0.2524 Fe
0.0000 0.0000 0.0955 Cr
0.6667 0.3333 0.6521 Tl
```

ρ: 11.2 g/cm³


#y
A geometry-optimized TlCrFe structure, computed with PBE.

The structure in POSCAR format:
```
TlCrFe
1.0
5.8457 -0.0312 0.0333
5.1250 2.8119 0.0299
0.7206 0.1859 2.8370
Cr Fe Tl
1 1 1
Direct
0.9729 0.9729 0.0271 Cr
0.3593 0.3593 0.6407 Fe
0.6679 0.6679 0.3321 Tl
```

ρ: 11.0 g/cm³


It is #y that is the most stable of them.


#w
A geometry-optimized UCrFe structure, computed with PBE.

The structure in POSCAR format:
```
UCrFe
1.0
-0.1130 -1.5298 -2.3164
-2.0422 -1.5245 1.1064
-2.6923 5.0311 -1.5251
U Cr Fe
1 1 1
Direct
0.0001 0.0001 0.0002 U
0.6899 0.6899 0.3798 Cr
0.3100 0.3100 0.6200 Fe
```

ρ: 13.4 g/cm³


#x
A geometry-optimized UCrFe structure, computed with PBE.

The structure in POSCAR format:
```
UCrFe
1.0
3.9803 0.0000 0.0000
0.0000 2.7885 0.0000
0.0000 1.3943 7.7220
Cr Fe U
2 2 2
Direct
0.2500 0.9112 0.1776 Cr
0.7500 0.0888 0.8224 Cr
0.7500 0.4543 0.0913 Fe
0.2500 0.5457 0.9087 Fe
0.2500 0.6953 0.6094 U
0.7500 0.3047 0.3906 U
```

ρ: 13.4 g/cm³


#y
A geometry-optimized UCrFe structure, computed with PBE.

The structure in POSCAR format:
```
UCrFe
1.0
-3.1221 3.9522 0.6138
-4.2285 -2.7698 0.4383
4.2127 -0.2264 2.8188
U Fe Cr
2 2 2
Direct
0.8883 0.1383 0.7500 U
0.1117 0.8617 0.2500 U
0.0000 0.5000 0.5000 Fe
0.5000 0.5000 0.0000 Fe
0.5000 0.0000 0.0000 Cr
0.5000 0.5000 0.5000 Cr
```

ρ: 13.3 g/cm³


It is #y that is the most stable of them.


#w
A geometry-optimized VCr2Fe structure, computed with PBE.

The structure in POSCAR format:
```
VCr2Fe
1.0
-3.6341 1.8179 -0.1158
-1.7802 0.7586 -3.5749
-3.2917 -2.1065 -1.1190
Cr V Fe
2 1 1
Direct
0.2500 0.2500 0.2500 Cr
0.7500 0.7500 0.7500 Cr
0.0000 0.0000 0.0000 V
0.5000 0.5000 0.5000 Fe
```

ρ: 7.4 g/cm³


#x
A geometry-optimized VCr2Fe structure, computed with PBE.

The structure in POSCAR format:
```
VCr2Fe
1.0
6.4701 0.0000 0.0000
0.0000 6.4701 0.0000
3.2351 3.2351 2.3781
Fe Cr V
2 4 2
Direct
0.0000 0.0000 0.0000 Fe
0.7500 0.2500 0.5000 Fe
0.8750 0.8950 0.7500 Cr
0.6450 0.1250 0.2500 Cr
0.1050 0.6250 0.2500 Cr
0.3750 0.3550 0.7500 Cr
0.2500 0.7500 0.5000 V
0.5000 0.5000 0.0000 V
```

ρ: 7.0 g/cm³


#y
A geometry-optimized VCr2Fe structure, computed with PBE.

The structure in POSCAR format:
```
VCr2Fe
1.0
-1.6338 -2.0086 3.2970
2.3069 -2.4390 -0.3427
2.0824 1.6808 2.0559
Cr V Fe
2 1 1
Direct
0.0000 0.0000 0.5000 Cr
0.0000 0.5000 0.0000 Cr
0.5000 0.0000 0.0000 V
0.5000 0.5000 0.5000 Fe
```

ρ: 7.3 g/cm³


It is #w that is the most stable of them.


#w
A geometry-optimized VCr2Fe structure, computed with PBE.

The structure in POSCAR format:
```
VCr2Fe
1.0
2.8891 0.0000 0.0000
0.0000 2.8891 0.0000
0.0000 0.0000 5.6839
Cr V Fe
2 1 1
Direct
0.0000 0.0000 0.7490 Cr
0.0000 0.0000 0.2510 Cr
0.5000 0.5000 0.0000 V
0.5000 0.5000 0.5000 Fe
```

ρ: 7.4 g/cm³


#x
A geometry-optimized VCr2Fe structure, computed with PBE.

The structure in POSCAR format:
```
VCr2Fe
1.0
-2.7170 -0.2175 0.3751
0.4302 -1.0531 2.5052
1.0103 6.8273 1.1856
V Cr Fe
1 2 1
Direct
0.8555 0.8555 0.7109 V
0.4783 0.4783 0.9566 Cr
0.0853 0.0853 0.1707 Cr
0.6951 0.6951 0.3902 Fe
```

ρ: 6.9 g/cm³


It is #w that is the most stable of them.


#w
A geometry-optimized VCrFe structure, computed with PBE.

The structure in POSCAR format:
```
VCrFe
1.0
-1.2686 -1.5706 -1.2719
0.3536 -1.6511 1.6860
-5.2291 3.6336 2.9667
V Cr Fe
1 1 1
Direct
0.1251 0.1251 0.2502 V
0.9470 0.9470 0.8940 Cr
0.7779 0.7779 0.5558 Fe
```

ρ: 6.8 g/cm³


#x
A geometry-optimized VCrFe structure, computed with PBE.

The structure in POSCAR format:
```
VCrFe
1.0
-1.6133 -0.1370 -1.8463
-2.7683 -1.5990 2.5375
0.2205 4.0457 -0.4927
Fe V Cr
1 1 1
Direct
0.6637 0.3333 0.6667 Fe
0.0061 0.0000 0.0000 V
0.3302 0.6667 0.3333 Cr
```

ρ: 7.4 g/cm³


It is #x that is the most stable of them.


#w
A geometry-optimized VCrFe structure, computed with PBE.

The structure in POSCAR format:
```
VCrFe
1.0
2.5553 0.0000 0.0000
-1.2776 2.2130 0.0000
0.0000 0.0000 12.5960
Fe V Cr
2 2 2
Direct
0.0000 0.0000 0.4688 Fe
0.0000 0.0000 0.9688 Fe
0.3333 0.6667 0.3003 V
0.6667 0.3333 0.8003 V
0.6667 0.3333 0.1215 Cr
0.3333 0.6667 0.6215 Cr
```

ρ: 7.4 g/cm³


#x
A geometry-optimized VCrFe structure, computed with PBE.

The structure in POSCAR format:
```
VCrFe
1.0
2.8861 -0.0004 -0.2206
0.0000 2.8945 -0.0051
0.6531 0.0153 8.5514
Fe V Cr
2 2 2
Direct
0.8726 0.2908 0.1723 Fe
0.3727 0.7909 0.3400 Fe
0.3722 0.7912 0.0113 V
0.8725 0.2912 0.5010 V
0.3723 0.7913 0.6763 Cr
0.8722 0.2913 0.8361 Cr
```

ρ: 7.3 g/cm³


It is #x that is the most stable of them.